# Ac5Sn2Te2 PBE optimized geometry
data_Ac5Sn2Te2
_chemical_formula_sum 'Ac20 Sn8 Te8'
_cell_length_a 16.8753
_cell_length_b 8.8346
_cell_length_c 8.9542
_cell_angle_alpha 90.00
_cell_angle_beta 90.00
_cell_angle_gamma 90.00
_symmetry_space_group_name_H-M 'C m c e'
_symmetry_Int_Tables_number 64
_symmetry_space_group_name_Hall '-C 2ac 2'
loop_
_atom_site_label
_atom_site_type_symbol
_atom_site_fract_x
_atom_site_fract_y
_atom_site_fract_z
Ac1 Ac 0.0000 0.0000 0.0000
Ac2 Ac 0.1344 0.1660 0.3372
Sn1 Sn 0.0000 0.1347 0.6347
Te1 Te 0.1998 0.0000 0.0000
# Volume   1335.0 Å³/cell
# Calculated total energy   -4.862 eV/atom
# DOS at the Fermi energy   33.77 states/eV per cell
# Formation energy from raw total energies   -992 meV/atom

---

# RhPbN3 PBE optimized geometry
data_RhPbN3
_chemical_formula_sum 'Rh1 Pb1 N3'
_cell_length_a 4.2029
_cell_length_b 4.2029
_cell_length_c 4.2029
_cell_angle_alpha 90.00
_cell_angle_beta 90.00
_cell_angle_gamma 90.00
_symmetry_space_group_name_H-M 'P m -3 m'
_symmetry_Int_Tables_number 221
_symmetry_space_group_name_Hall '-P 4 2 3'
loop_
_atom_site_label
_atom_site_type_symbol
_atom_site_fract_x
_atom_site_fract_y
_atom_site_fract_z
Rh1 Rh 0.0000 0.0000 0.0000
Pb1 Pb 0.5000 0.5000 0.5000
N1 N 0.0000 0.5000 0.5000
# Volume   74.2 Å³/cell
# Calculated total energy   -4.511 eV/atom
# DOS at the Fermi energy   5.05 states/eV per cell
# Formation energy from raw total energies   2696 meV/atom

---

# Na3Y2TmTe6 PBE optimized geometry
data_Na3Y2TmTe6
_chemical_formula_sum 'Na6 Y4 Tm2 Te12'
_cell_length_a 7.6459
_cell_length_b 13.2442
_cell_length_c 7.9843
_cell_angle_alpha 90.00
_cell_angle_beta 108.62
_cell_angle_gamma 90.00
_symmetry_space_group_name_H-M 'C 1 2/m 1'
_symmetry_Int_Tables_number 12
loop_
_symmetry_equiv_pos_as_xyz
'x,y,z'
'-x,-y,-z'
'-x,y,-z'
'x,-y,z'
'x+1/2,y+1/2,z'
'-x+1/2,-y+1/2,-z'
'-x+1/2,y+1/2,-z'
'x+1/2,-y+1/2,z'
loop_
_atom_site_label
_atom_site_type_symbol
_atom_site_fract_x
_atom_site_fract_y
_atom_site_fract_z
Na1 Na 0.0000 0.0000 0.0000
Na2 Na 0.0000 0.3318 0.0000
Y1 Y 0.0000 0.1664 0.5000
Tm1 Tm 0.0000 0.5000 0.5000
Te1 Te 0.2421 0.3349 0.7311
Te2 Te 0.2471 0.0000 0.7315
# Volume   766.2 Å³/cell
# Calculated total energy   -4.670 eV/atom
# Formation energy from raw total energies   -1319 meV/atom